(1)
A PBEsol-optimized structure of LaAl2H, computed with meta-GGA SCAN.

a = 5.8541 Å, b = 5.8541 Å, c = 5.8541 Å
α = 60.00°, β = 60.00°, γ = 60.00°
Atoms (fractional coordinates):
H (0.2500, 0.2500, 0.2500)
H (0.0000, 0.0000, 0.0000)
Al (0.1250, 0.1250, 0.6250)
Al (0.1250, 0.1250, 0.1250)
Al (0.6250, 0.1250, 0.1250)
Al (0.1250, 0.6250, 0.1250)
La (0.7500, 0.7500, 0.7500)
La (0.5000, 0.5000, 0.5000)

## Properties
calculated total energy: -15.70 eV per atom
total magnetic moment: 0.00 μB/cell
space group: Fd-3m, No. 227
calculated volume: 17.73 Å³/atom

=====

(2)
A PBEsol-optimized structure of La2AlNi9H, computed with meta-GGA SCAN.

a = 4.9275 Å, b = 4.9273 Å, c = 7.9956 Å
α = 90.00°, β = 90.00°, γ = 119.51°
Site moments in Bohr magnetons follow the coordinates.
Atoms (fractional coordinates):
La (0.0212, 0.0101, 0.7302)  0.07
La (0.0212, 0.0101, 0.2698)  0.07
Al (0.5210, 0.5100, 0.0000)  0.01
Ni (0.6864, 0.3445, 0.7476)  -0.18
Ni (0.6864, 0.3445, 0.2524)  -0.18
Ni (0.5203, 0.5112, 0.5000)  -0.44
Ni (0.3522, 0.6796, 0.7476)  -0.19
Ni (0.5176, 0.0056, 0.0000)  -0.16
Ni (0.0202, 0.5100, 0.5000)  -0.37
Ni (0.5213, 0.0112, 0.5000)  -0.37
Ni (0.3522, 0.6796, 0.2524)  -0.19
Ni (0.0256, 0.5141, 0.0000)  -0.16
H (0.8898, 0.1422, 0.0000)  0.00

## Properties
calculated total energy: -19.03 eV per atom
total magnetic moment: 1.68 μB/cell
space group: Amm2, No. 38
calculated volume: 13.00 Å³/atom

=====

(3)
A PBEsol-optimized structure of La2AlNi9H2, computed with meta-GGA SCAN.

a = 4.9580 Å, b = 4.9799 Å, c = 8.0152 Å
α = 88.87°, β = 89.13°, γ = 61.13°
Atoms (fractional coordinates):
La (0.0099, 0.0044, 0.0068)
La (0.9901, 0.9945, 0.4810)
Al (0.5050, 0.5032, 0.7525)
Ni (0.6759, 0.6704, 0.0018)
Ni (0.6640, 0.6623, 0.5011)
Ni (0.4877, 0.5185, 0.2506)
Ni (0.3291, 0.3437, 0.0025)
Ni (0.9960, 0.5202, 0.7548)
Ni (0.4890, 0.9951, 0.2511)
Ni (0.9945, 0.5035, 0.2512)
Ni (0.3249, 0.3422, 0.5007)
Ni (0.5190, 0.9968, 0.7546)
H (0.6834, 0.1637, 0.2380)
H (0.2018, 0.2047, 0.6597)

## Properties
calculated total energy: -17.92 eV per atom
total magnetic moment: 0.00 μB/cell
space group: P1, No. 1
calculated volume: 12.38 Å³/atom